1.
A relaxed BaSrSc2 crystal, computed with PBE.

Values from the calculation:
The energy above the lowest structure with this stoichiometry is 0.237 eV per atom. Its formation energy is 454 meV per atom.

Unit cell a=4.2746 b=5.7863 c=5.8958 alpha=90.00 beta=90.00 gamma=90.00
Closest atoms and distances in Å follow each position.
Fractional coordinates of all 4 atoms:
1 Sc 0.5000 0.5000 0.0000  4 Sc 3.60, 4 Ba 3.64
2 Ba 0.0000 0.5000 0.5000  4 Sr 3.60, 4 Sc 3.64
3 Sc 0.0000 0.0000 0.0000  4 Sc 3.60, 4 Sr 3.64
4 Sr 0.5000 0.0000 0.5000  4 Ba 3.60, 4 Sc 3.64

2.
A relaxed BaSrSc2 crystal, computed with PBE.

Values from the calculation:
The energy above the lowest structure with this stoichiometry is 0.224 eV per atom. Its formation energy is 442 meV per atom.

Unit cell a=5.9727 b=3.5845 c=7.0612 alpha=78.30 beta=90.00 gamma=90.00
Closest atoms and distances in Å follow each position.
Fractional coordinates of all 4 atoms:
1 Ba 0.5000 0.7500 0.7500  2 Ba 3.58, 2 Sr 3.62, 4 Sc 3.86
2 Sc 0.0000 0.0428 0.0353  4 Sc 3.32-3.64, 2 Sr 3.50
3 Sc 0.0000 0.4572 0.4647  4 Sc 3.32-3.64, 2 Sr 3.50
4 Sr 0.5000 0.2500 0.2500  4 Sc 3.50, 2 Sr 3.58, 2 Ba 3.62

3.
A relaxed Ba2SrSc crystal, computed with PBE.

Values from the calculation:
The energy above the lowest structure with this stoichiometry is 0.061 eV per atom. Its formation energy is 284 meV per atom.

Unit cell a=6.4128 b=6.4128 c=6.4128 alpha=120.03 beta=120.03 gamma=89.94
Closest atoms and distances in Å follow each position.
Fractional coordinates of all 4 atoms:
1 Sc 0.5000 0.5000 0.0000  4 Sr 3.93, 4 Ba 3.93
2 Ba 0.0000 0.0000 0.0000  4 Ba 3.93, 4 Sr 3.93
3 Sr 0.7500 0.2500 0.5000  4 Sc 3.93, 4 Ba 3.93
4 Ba 0.2500 0.7500 0.5000  4 Sc 3.93, 4 Ba 3.93

4.
A relaxed BaSc3Ta crystal, computed with PBE.

Values from the calculation:
The energy above the lowest structure with this stoichiometry is 1.215 eV per atom. Its formation energy is 1728 meV per atom.

Unit cell a=5.1392 b=5.1392 c=5.1392 alpha=90.00 beta=90.00 gamma=90.00
Closest atoms and distances in Å follow each position.
Fractional coordinates of all 5 atoms:
1 Sc 0.5000 0.0000 0.0000  2 Ba 2.57
2 Ta 0.5000 0.5000 0.5000  12 Sc 3.63
3 Ba 0.0000 0.0000 0.0000  6 Sc 2.57
4 Sc 0.0000 0.5000 0.0000  2 Ba 2.57
5 Sc 0.0000 0.0000 0.5000  2 Ba 2.57